BeIrPd3, relaxed, DFT GGA-PBE; mass density = 11.9 g/cm³; electronic total energy = -5.312 eV per atom; offset from the most stable computed form = 0 meV per atom; size of the total moment = 0.00 μB/atom
1.0
4.1667 0.0000 0.0000
0.0000 4.1667 0.0000
0.0000 0.0000 4.1667
Be Ir Pd
1 1 3
direct
0.0000 0.0000 0.0000 Be
0.5000 0.5000 0.5000 Ir
0.0000 0.0000 0.5000 Pd
0.0000 0.5000 0.0000 Pd
0.5000 0.0000 0.0000 Pd